[1]
PBEsol AuSeBr2, optimized geometry; formation energy from raw total energies = 5 kJ/mol of atoms; total magnetic moment = 0.00 μB/cell; excess energy over the best structure of this formula in the dataset = 0.000 eV per atom; final energy = -2.822 eV/atom
1.0
3.5960 0.0000 0.0000
-1.7980 3.4589 0.0000
0.0000 0.0000 8.4951
Au Br Se
1 2 1
direct
0.5000 0.0000 0.7345 Au
0.0000 0.0000 0.9443 Br
0.5000 0.0000 0.2864 Br
0.0000 0.0000 0.5347 Se

=====

[2]
PBEsol Sr2LiY, optimized geometry; total magnetic moment = 0.02 μB/cell; energy of formation from the pure elements = 0.233 eV/atom; excess energy over the best structure of this formula in the dataset = 0.085 eV per atom; final energy = -2.885 eV/atom
1.0
-0.8207 -3.2395 -2.3765
2.5814 -3.6804 4.1254
-6.0857 2.8128 1.8053
Li Sr Y
1 2 1
direct
0.0000 0.5000 0.0000 Li
0.7213 0.7213 0.4427 Sr
0.2787 0.2787 0.5573 Sr
0.5000 0.0000 0.0000 Y

=====

[3]
PBEsol CdP2PbS, optimized geometry; formation energy from raw total energies = 74 kJ/mol of atoms; total magnetic moment = 0.02 μB/cell; excess energy over the best structure of this formula in the dataset = 0.000 eV per atom; final energy = -3.467 eV/atom
1.0
4.8784 0.0000 0.0000
0.0000 4.8784 0.0000
0.0000 0.0000 5.0163
Pb P S Cd
1 2 1 1
direct
0.5000 0.5000 0.5000 Pb
0.0000 0.5000 0.0000 P
0.5000 0.0000 0.0000 P
0.0000 0.0000 0.5000 S
0.0000 0.0000 0.0000 Cd

=====

[4]
PBEsol BeMoPt, optimized geometry; total magnetic moment = 0.00 μB/cell; energy of formation from the pure elements = 0.039 eV/atom; excess energy over the best structure of this formula in the dataset = 0.000 eV per atom; final energy = -7.538 eV/atom
1.0
-2.9894 0.0825 -2.7070
0.6908 -1.1523 -3.8035
-1.5686 -3.4512 -1.3784
Be Mo Pt
1 1 1
direct
0.0000 0.0000 0.0000 Be
0.5000 0.5000 0.5000 Mo
0.2500 0.2500 0.2500 Pt

=====

[5]
PBEsol ThAl2Ni3, optimized geometry; total magnetic moment = 0.00 μB/cell; energy of formation from the pure elements = -0.521 eV/atom; final energy = -6.315 eV/atom
1.0
-1.1918 -2.6440 -2.4589
-2.6681 -2.3733 3.8452
-2.3108 3.7247 -2.8851
Ni Al Th
3 2 1
direct
0.5000 0.5000 0.0000 Ni
0.5000 0.0000 0.5000 Ni
0.5000 0.5000 0.5000 Ni
0.0000 0.3333 0.6667 Al
0.0000 0.6667 0.3333 Al
0.0000 0.0000 0.0000 Th

=====

[6]
PBEsol ScCdW3, optimized geometry; total magnetic moment = 0.00 μB/cell; energy of formation from the pure elements = 2.380 eV/atom; final energy = -7.465 eV/atom
1.0
-0.9956 -1.5414 -4.2156
4.1674 -1.9213 -0.2817
-1.6672 -3.8821 1.8132
Sc W Cd
1 3 1
direct
0.0000 0.0000 0.0000 Sc
0.0000 0.5000 0.0000 W
0.0000 0.0000 0.5000 W
0.5000 0.0000 0.0000 W
0.5000 0.5000 0.5000 Cd

=====

[7]
PBEsol CaHf3Co, optimized geometry; total magnetic moment = 0.00 μB/cell; energy of formation from the pure elements = 0.235 eV/atom; final energy = -8.041 eV/atom
1.0
4.8519 0.0000 0.0000
0.0000 4.8519 0.0000
0.0000 0.0000 4.8519
Co Ca Hf
1 1 3
direct
0.0000 0.0000 0.0000 Co
0.5000 0.5000 0.5000 Ca
0.0000 0.5000 0.0000 Hf
0.0000 0.0000 0.5000 Hf
0.5000 0.0000 0.0000 Hf

=====

[8]
PBEsol ZrCdSb, optimized geometry; formation energy from raw total energies = -20 kJ/mol of atoms; total magnetic moment = 0.00 μB/cell; excess energy over the best structure of this formula in the dataset = 0.000 eV per atom; final energy = -5.152 eV/atom
1.0
-1.1612 1.3742 -2.7590
-3.5293 0.3046 1.6371
3.5726 3.7829 2.3467
Cd Sb Zr
1 1 1
direct
0.9981 0.9981 0.9962 Cd
0.6690 0.6690 0.3380 Sb
0.3329 0.3329 0.6658 Zr